Density functional theory data (GGA-PBE) for a relaxed LiBiO3 crystal.

a = 5.1728 Å, b = 5.1728 Å, c = 7.9060 Å
α = 90.00°, β = 90.00°, γ = 120.00°
Last column: nearest neighbours and their distance in Å.
Atoms (fractional coordinates):
Li1 0.0000 0.0000 0.0000  6 O 1.97-2.03
Li2 0.3333 0.6667 0.6667  6 O 1.97-2.03
Li3 0.6667 0.3333 0.3333  6 O 1.97-2.03
Bi1 0.0000 0.0000 0.5941  3 O 2.27
Bi2 0.3333 0.6667 0.2607  3 O 2.27
Bi3 0.6667 0.3333 0.9274  3 O 2.27
O1 0.0152 0.5076 0.4843  2 Li 1.97-2.03
O2 0.1590 0.3181 0.8177  2 Li 1.97-2.03
O3 0.1590 0.8410 0.8177  2 Li 1.97-2.03
O4 0.3486 0.1743 0.1510  2 Li 1.97-2.03
O5 0.4924 0.5076 0.4843  2 Li 1.97-2.03
O6 0.4924 0.9848 0.4843  2 Li 1.97-2.03
O7 0.6819 0.8410 0.8177  2 Li 1.97-2.03
O8 0.8257 0.1743 0.1510  2 Li 1.97-2.03
O9 0.8257 0.6514 0.1510  2 Li 1.97-2.03

Properties
Formation energy from raw total energies (eV per atom): -0.793
Density (g/cm³): 7.18
Fermi-level density of states (states/eV/cell): 5.59

Density functional theory data (GGA-PBE) for a relaxed Li2BiO3 crystal.

a = 5.6904 Å, b = 5.6904 Å, c = 10.3969 Å
α = 94.11°, β = 94.11°, γ = 119.17°
Last column: nearest neighbours and their distance in Å.
Atoms (fractional coordinates):
Li1 0.0000 0.5000 0.5000  4 O 2.09-2.30
Li2 0.0965 0.2956 0.0049  4 O 2.05-2.27
Li3 0.0958 0.9042 0.7500  6 O 2.28-2.33
Li4 0.2956 0.0965 0.5049  4 O 2.05-2.27
Li5 0.5000 0.0000 0.0000  4 O 2.09-2.30
Li6 0.7044 0.9035 0.4951  4 O 2.05-2.27
Li7 0.9042 0.0958 0.2500  6 O 2.28-2.33
Li8 0.9035 0.7044 0.9951  4 O 2.05-2.27
Bi1 0.2388 0.7612 0.2500  6 O 2.14-2.17
Bi2 0.4289 0.5711 0.7500  6 O 2.37-2.41
Bi3 0.5711 0.4289 0.2500  6 O 2.37-2.41
Bi4 0.7612 0.2388 0.7500  6 O 2.14-2.17
O1 0.0319 0.1970 0.6252  4 Li 2.09-2.33, 1 Bi 2.17
O2 0.0948 0.5788 0.8708  2 Li 2.05-2.21, 1 Bi 2.16
O3 0.1970 0.0319 0.1252  4 Li 2.09-2.33, 1 Bi 2.17
O4 0.2509 0.4749 0.3692  2 Li 2.09-2.28, 1 Bi 2.14
O5 0.4212 0.9052 0.6292  2 Li 2.05-2.21, 1 Bi 2.16
O6 0.4749 0.2509 0.8692  2 Li 2.09-2.28, 1 Bi 2.14
O7 0.5251 0.7491 0.1308  2 Li 2.09-2.28, 1 Bi 2.14
O8 0.5788 0.0948 0.3708  2 Li 2.05-2.21, 1 Bi 2.16
O9 0.7491 0.5251 0.6308  2 Li 2.09-2.28, 1 Bi 2.14
O10 0.8030 0.9681 0.8748  4 Li 2.09-2.33, 1 Bi 2.17
O11 0.9052 0.4212 0.1292  2 Li 2.05-2.21, 1 Bi 2.16
O12 0.9681 0.8030 0.3748  4 Li 2.09-2.33, 1 Bi 2.17

Properties
Formation energy from raw total energies (eV per atom): -1.467
Density (g/cm³): 6.18
Polymorph energy (0 for the lowest one) (meV per atom): 33

Density functional theory data (GGA-PBE) for a relaxed Li2Bi3O8 crystal.

a = 6.1622 Å, b = 6.1622 Å, c = 5.6803 Å
α = 98.58°, β = 98.58°, γ = 66.00°
Last column: nearest neighbours and their distance in Å.
Atoms (fractional coordinates):
Li1 0.1978 0.1978 0.0850  1 O 2.03
Li2 0.8022 0.8022 0.9150  1 O 2.03
Bi1 0.2390 0.7610 0.5000  6 O 2.15-2.28
Bi2 0.5000 0.5000 0.0000  6 O 2.16-2.18
Bi3 0.7610 0.2390 0.5000  6 O 2.15-2.28
O1 0.1103 0.1103 0.3785  1 Li 2.03, 2 Bi 2.15
O2 0.1603 0.6018 0.1390  2 Bi 2.16-2.21, 2 Li 2.33-2.38
O3 0.3916 0.3916 0.6345  3 Bi 2.18-2.28
O4 0.3982 0.8397 0.8610  2 Bi 2.16-2.21, 2 Li 2.33-2.38
O5 0.6018 0.1603 0.1390  2 Bi 2.16-2.21, 2 Li 2.33-2.38
O6 0.6084 0.6084 0.3655  3 Bi 2.18-2.28
O7 0.8397 0.3982 0.8610  2 Bi 2.16-2.21, 2 Li 2.33-2.38
O8 0.8897 0.8897 0.6215  1 Li 2.03, 2 Bi 2.15

Properties
Formation energy from raw total energies (eV per atom): -1.060
Density (g/cm³): 6.58
Fermi-level density of states (states/eV/cell): 2.69

Density functional theory data (GGA-PBE) for a relaxed Li4Bi2O5 crystal.

a = 13.8025 Å, b = 4.6527 Å, c = 8.9778 Å
α = 90.00°, β = 90.00°, γ = 90.00°
Last column: nearest neighbours and their distance in Å.
Atoms (fractional coordinates):
Li1 0.0061 0.0594 0.1383  4 O 1.95-2.16
Li2 0.0061 0.4406 0.3617  4 O 1.95-2.16
Li3 0.1254 0.7500 0.2500  2 O 2.00
Li4 0.2500 0.0000 0.1178  3 O 2.08-2.16
Li5 0.2500 0.5000 0.3822  3 O 2.08-2.16
Li6 0.3746 0.2500 0.2500  2 O 2.00
Li7 0.4939 0.5594 0.3617  4 O 1.95-2.16
Li8 0.4939 0.9406 0.1383  4 O 1.95-2.16
Li9 0.5061 0.0594 0.8617  4 O 1.95-2.16
Li10 0.5061 0.4406 0.6383  4 O 1.95-2.16
Li11 0.6254 0.7500 0.7500  2 O 2.00
Li12 0.7500 0.0000 0.8822  3 O 2.08-2.16
Li13 0.7500 0.5000 0.6178  3 O 2.08-2.16
Li14 0.8746 0.2500 0.7500  2 O 2.00
Li15 0.9939 0.5594 0.6383  4 O 1.95-2.16
Li16 0.9939 0.9406 0.8617  4 O 1.95-2.16
Bi1 0.1272 0.0391 0.5345  4 O 2.14-2.39
Bi2 0.1272 0.4609 0.9655  4 O 2.14-2.39
Bi3 0.3728 0.5391 0.9655  4 O 2.14-2.39
Bi4 0.3728 0.9609 0.5345  4 O 2.14-2.39
Bi5 0.6272 0.0391 0.4655  4 O 2.14-2.39
Bi6 0.6272 0.4609 0.0345  4 O 2.14-2.39
Bi7 0.8728 0.5391 0.0345  4 O 2.14-2.39
Bi8 0.8728 0.9609 0.4655  4 O 2.14-2.39
O1 0.0284 0.0031 0.3512  3 Li 1.95-2.06, 1 Bi 2.14
O2 0.0284 0.4969 0.1488  3 Li 1.95-2.06, 1 Bi 2.14
O3 0.1179 0.5151 0.4940  3 Li 1.98-2.16
O4 0.1179 0.9849 0.0060  3 Li 1.98-2.16
O5 0.2500 0.0000 0.3580  5 Li 2.16-2.34, 2 Bi 2.33
O6 0.2500 0.5000 0.1420  5 Li 2.16-2.34, 2 Bi 2.33
O7 0.3821 0.0151 0.0060  3 Li 1.98-2.16
O8 0.3821 0.4849 0.4940  3 Li 1.98-2.16
O9 0.4716 0.5031 0.1488  3 Li 1.95-2.06, 1 Bi 2.14
O10 0.4716 0.9969 0.3512  3 Li 1.95-2.06, 1 Bi 2.14
O11 0.5284 0.0031 0.6488  3 Li 1.95-2.06, 1 Bi 2.14
O12 0.5284 0.4969 0.8512  3 Li 1.95-2.06, 1 Bi 2.14
O13 0.6179 0.5151 0.5060  3 Li 1.98-2.16
O14 0.6179 0.9849 0.9940  3 Li 1.98-2.16
O15 0.7500 0.0000 0.6420  5 Li 2.16-2.34, 2 Bi 2.33
O16 0.7500 0.5000 0.8580  5 Li 2.16-2.34, 2 Bi 2.33
O17 0.8821 0.0151 0.9940  3 Li 1.98-2.16
O18 0.8821 0.4849 0.5060  3 Li 1.98-2.16
O19 0.9716 0.5031 0.8512  3 Li 1.95-2.06, 1 Bi 2.14
O20 0.9716 0.9969 0.6488  3 Li 1.95-2.06, 1 Bi 2.14

Properties
Formation energy from raw total energies (eV per atom): -1.547
Density (g/cm³): 6.06
Fermi-level density of states (states/eV/cell): 0.00
Polymorph energy (0 for the lowest one) (meV per atom): 32

Density functional theory data (GGA-PBE) for a relaxed Li2BiO3 crystal.

a = 5.7869 Å, b = 5.7869 Å, c = 5.6421 Å
α = 90.00°, β = 90.00°, γ = 58.92°
Last column: nearest neighbours and their distance in Å.
Atoms (fractional coordinates):
Li1 0.0054 0.6381 0.5000  4 O 2.01-2.11
Li2 0.3619 0.9946 0.5000  4 O 2.01-2.11
Li3 0.6381 0.0054 0.0000  4 O 2.01-2.11
Li4 0.9946 0.3619 0.0000  4 O 2.01-2.11
Bi1 0.2828 0.7172 0.9905  4 O 2.09-2.26
Bi2 0.7172 0.2828 0.4905  4 O 2.09-2.26
O1 0.0318 0.3082 0.6450  3 Li 2.01-2.02, 1 Bi 2.09
O2 0.3082 0.0318 0.1450  3 Li 2.01-2.02, 1 Bi 2.09
O3 0.3532 0.6468 0.5955  2 Li 2.11, 2 Bi 2.15-2.26
O4 0.6468 0.3532 0.0955  2 Li 2.11, 2 Bi 2.15-2.26
O5 0.6918 0.9682 0.6450  3 Li 2.01-2.02, 1 Bi 2.09
O6 0.9682 0.6918 0.1450  3 Li 2.01-2.02, 1 Bi 2.09

Properties
Formation energy from raw total energies (eV per atom): -1.429
Density (g/cm³): 5.56
Fermi-level density of states (states/eV/cell): 3.33
Polymorph energy (0 for the lowest one) (meV per atom): 72

Density functional theory data (GGA-PBE) for a relaxed LiBi2OsO8 crystal.

a = 4.8732 Å, b = 6.9105 Å, c = 4.9684 Å
α = 90.00°, β = 92.00°, γ = 90.00°
Last column: nearest neighbours and their distance in Å.
Atoms (fractional coordinates):
Li1 0.0000 0.0000 0.0000  2 O 2.02
Bi1 0.5000 0.2401 0.5000  6 O 2.17-2.37
Bi2 0.5000 0.7599 0.5000  6 O 2.17-2.37
Os1 0.0000 0.5000 0.0000  6 O 1.88-1.90
O1 0.2051 0.3008 0.8454  1 Os 1.88
O2 0.2051 0.6992 0.8454  1 Os 1.88
O3 0.2473 0.5000 0.3051  1 Os 1.90
O4 0.2825 0.0000 0.3066  1 Li 2.02, 2 Bi 2.17
O5 0.7175 0.0000 0.6934  1 Li 2.02, 2 Bi 2.17
O6 0.7527 0.5000 0.6949  1 Os 1.90
O7 0.7949 0.3008 0.1546  1 Os 1.88
O8 0.7949 0.6992 0.1546  1 Os 1.88

Properties
Formation energy from raw total energies (eV per atom): -1.052
Density (g/cm³): 7.38
Fermi-level density of states (states/eV/cell): 4.49